InSiIr2, relaxed, DFT PBE; formation energy from raw total energies = 0.3533 eV per atom; raw total energy = -6.118 eV per atom
1.0
-3.529 0.541 2.747
-1.404 -3.427 2.564
0.616 0.125 4.461
Ir In Si
2 1 1
Direct
0.250 0.250 0.250 Ir
0.000 0.000 0.000 Ir
0.500 0.500 0.500 In
0.750 0.750 0.750 Si

=====

InSiIr2, relaxed, DFT PBE; formation energy from raw total energies = -0.1084 eV per atom; raw total energy = -6.579 eV per atom
1.0
-1.772 1.226 -1.920
-2.736 0.263 2.694
2.038 5.370 1.547
Ir Si In
2 1 1
Direct
0.500 0.500 0.308 Ir
0.000 0.000 0.005 Ir
0.000 0.000 0.406 Si
0.500 0.500 0.781 In

=====

In2SiIr, relaxed, DFT PBE; formation energy from raw total energies = 0.3619 eV per atom; raw total energy = -4.578 eV per atom
1.0
4.813 0.000 0.000
0.000 4.813 0.000
0.000 0.000 3.245
In Si Ir
2 1 1
Direct
0.500 0.500 0.000 In
0.000 0.000 0.000 In
0.000 0.500 0.500 Si
0.500 0.000 0.500 Ir

=====

In2SiIr, relaxed, DFT PBE; formation energy from raw total energies = 0.2521 eV per atom; raw total energy = -4.688 eV per atom
1.0
3.083 0.000 0.000
0.000 3.083 0.000
0.000 0.000 8.000
In Si Ir
2 1 1
Direct
0.000 0.000 0.024 In
0.000 0.000 0.476 In
0.500 0.500 0.750 Si
0.500 0.500 0.250 Ir

=====

InSiIr2, relaxed, DFT PBE; formation energy from raw total energies = -0.0582 eV per atom; raw total energy = -6.529 eV per atom
1.0
-2.568 -3.570 -0.921
2.446 -1.656 -0.400
1.174 -2.003 4.492
Ir In Si
2 1 1
Direct
0.000 0.056 0.009 Ir
0.500 0.419 0.289 Ir
0.500 0.687 0.756 In
0.000 0.338 0.445 Si

=====

InSiIr2, relaxed, DFT PBE; formation energy from raw total energies = 0.0962 eV per atom; raw total energy = -6.375 eV per atom
1.0
5.130 0.014 0.000
2.332 4.570 0.000
-3.731 -2.292 2.673
Si Ir In
1 2 1
Direct
0.500 0.500 0.000 Si
0.000 0.000 0.000 Ir
0.250 0.750 0.500 Ir
0.750 0.250 0.500 In

=====

InSi3Ir3, relaxed, DFT PBE; formation energy from raw total energies = -0.0881 eV per atom; raw total energy = -6.601 eV per atom
1.0
6.589 0.000 0.000
0.000 6.589 0.000
0.000 0.000 6.589
Si Ir In
6 6 2
Direct
0.000 0.500 0.750 Si
0.500 0.750 0.000 Si
0.000 0.500 0.250 Si
0.250 0.000 0.500 Si
0.750 0.000 0.500 Si
0.500 0.250 0.000 Si
0.000 0.250 0.500 Ir
0.000 0.750 0.500 Ir
0.500 0.000 0.250 Ir
0.500 0.000 0.750 Ir
0.250 0.500 0.000 Ir
0.750 0.500 0.000 Ir
0.500 0.500 0.500 In
0.000 0.000 0.000 In

=====

InSi4Ir, relaxed, DFT PBE; formation energy from raw total energies = 0.6159 eV per atom; raw total energy = -4.933 eV per atom
1.0
5.060 -0.193 0.943
1.941 2.374 4.139
1.778 -2.772 3.961
Si In Ir
4 1 1
Direct
0.375 0.875 0.375 Si
0.375 0.375 0.375 Si
0.875 0.375 0.375 Si
0.375 0.375 0.875 Si
0.750 0.750 0.750 In
0.000 0.000 0.000 Ir

=====

InSiIr2, relaxed, DFT PBE; formation energy from raw total energies = -0.0591 eV per atom; raw total energy = -6.530 eV per atom
1.0
7.006 0.000 0.000
0.000 7.006 0.000
3.503 3.503 2.793
Ir In Si
4 2 2
Direct
0.375 0.438 0.750 Ir
0.188 0.625 0.250 Ir
0.562 0.125 0.250 Ir
0.875 0.812 0.750 Ir
0.750 0.250 0.500 In
0.000 0.000 0.000 In
0.500 0.500 0.000 Si
0.250 0.750 0.500 Si

=====

In2SiIr, relaxed, DFT PBE; formation energy from raw total energies = 0.3092 eV per atom; raw total energy = -4.631 eV per atom
1.0
3.244 0.000 0.000
0.000 5.445 0.014
0.000 3.672 4.304
In Ir Si
2 1 1
Direct
0.000 0.000 0.000 In
0.500 0.500 0.000 In
0.500 0.500 0.500 Ir
0.000 0.000 0.500 Si

=====

InSi2Ir, relaxed, DFT PBE; formation energy from raw total energies = 0.3425 eV per atom; raw total energy = -5.269 eV per atom
1.0
-4.681 0.196 -0.033
1.517 -3.224 -3.042
-0.109 -2.224 2.303
Ir In Si
1 1 2
Direct
0.000 0.500 0.500 Ir
0.500 0.000 0.500 In
0.500 0.500 0.000 Si
0.000 0.000 0.000 Si

=====

InSiIr2, relaxed, DFT PBE; formation energy from raw total energies = -0.3696 eV per atom; raw total energy = -6.841 eV per atom
1.0
-1.257 -2.146 -1.536
-0.461 -1.507 2.482
-7.025 1.330 3.889
Si Ir In
1 2 1
Direct
0.500 0.250 0.250 Si
0.000 0.477 0.448 Ir
0.000 0.023 0.052 Ir
0.500 0.750 0.750 In

=====

In3SiIr, relaxed, DFT PBE; formation energy from raw total energies = 0.4121 eV per atom; raw total energy = -4.088 eV per atom
1.0
5.143 0.000 0.000
0.000 5.143 0.000
0.000 0.000 5.143
In Ir Si
3 1 1
Direct
0.000 0.500 0.000 In
0.000 0.000 0.500 In
0.500 0.000 0.000 In
0.000 0.000 0.000 Ir
0.500 0.500 0.500 Si

=====

InSiIr4, relaxed, DFT PBE; formation energy from raw total energies = 0.4231 eV per atom; raw total energy = -6.845 eV per atom
1.0
-3.365 -3.567 -1.868
-5.130 1.084 -0.199
-2.340 0.773 -4.633
In Si Ir
1 1 4
Direct
0.000 0.000 0.000 In
0.750 0.750 0.750 Si
0.874 0.375 0.375 Ir
0.375 0.874 0.375 Ir
0.375 0.375 0.874 Ir
0.375 0.375 0.375 Ir

=====

InSi2Ir, relaxed, DFT PBE; formation energy from raw total energies = -0.0316 eV per atom; raw total energy = -5.643 eV per atom
1.0
-3.029 -0.905 -2.719
-0.159 -3.696 1.407
-3.200 0.446 3.417
Si Ir In
2 1 1
Direct
0.000 0.791 0.000 Si
0.000 0.709 0.500 Si
0.500 0.750 0.750 Ir
0.500 0.250 0.250 In

=====

InSi3Ir, relaxed, DFT PBE; formation energy from raw total energies = 0.3769 eV per atom; raw total energy = -5.197 eV per atom
1.0
-2.471 3.974 0.622
-2.771 -2.211 3.118
2.916 1.267 3.490
Si In Ir
3 1 1
Direct
0.000 0.000 0.500 Si
0.500 0.000 0.000 Si
0.000 0.500 0.000 Si
0.500 0.500 0.500 In
0.000 0.000 0.000 Ir

=====

In2SiIr, relaxed, DFT PBE; formation energy from raw total energies = -0.1078 eV per atom; raw total energy = -5.048 eV per atom
1.0
-5.903 -2.156 2.478
-3.297 -2.122 5.501
-5.032 1.273 4.323
In Ir Si
2 1 1
Direct
0.230 0.230 0.230 In
0.019 0.019 0.019 In
0.465 0.465 0.465 Ir
0.786 0.786 0.786 Si

=====

InSi2Ir, relaxed, DFT PBE; formation energy from raw total energies = 0.0679 eV per atom; raw total energy = -5.543 eV per atom
1.0
4.412 0.000 0.000
0.000 4.412 0.000
2.206 2.206 7.882
Si In Ir
4 2 2
Direct
0.038 0.625 0.250 Si
0.875 0.962 0.750 Si
0.375 0.288 0.750 Si
0.712 0.125 0.250 Si
0.500 0.500 0.000 In
0.250 0.750 0.500 In
0.000 0.000 0.000 Ir
0.750 0.250 0.500 Ir

=====

In2SiIr2, relaxed, DFT PBE; formation energy from raw total energies = -0.1204 eV per atom; raw total energy = -5.845 eV per atom
1.0
-5.490 1.048 3.190
1.969 -3.948 4.686
1.818 3.325 2.037
Ir Si In
4 2 4
Direct
0.657 0.157 0.000 Ir
0.343 0.843 0.000 Ir
0.157 0.343 0.000 Ir
0.843 0.657 0.000 Ir
0.000 0.000 0.000 Si
0.500 0.500 0.000 Si
0.841 0.341 0.500 In
0.659 0.841 0.500 In
0.341 0.159 0.500 In
0.159 0.659 0.500 In

=====

InSiIr2, relaxed, DFT PBE; formation energy from raw total energies = -0.0699 eV per atom; raw total energy = -6.541 eV per atom
1.0
-1.177 -1.922 -3.532
2.096 -3.433 1.170
-2.878 -1.207 1.615
Si Ir In
1 2 1
Direct
0.500 0.000 0.500 Si
0.500 0.500 0.000 Ir
0.000 0.000 0.000 Ir
0.000 0.500 0.500 In